Compound: Ta2ZnN
Source: Alexandria via LeMat-Bulk
Functional: PBE
Structure: optimized geometry

Cell and atoms, written as extended XYZ:
```
4
Lattice="0.0000 3.0232 3.0232 3.0232 0.0000 3.0232 3.0232 3.0232 0.0000" Properties=species:S:1:pos:R:3 pbc="T T T"
Zn 3.0232 3.0232 3.0232
N 0.0000 0.0000 0.0000
Ta 1.5116 1.5116 1.5116
Ta 4.5348 4.5348 4.5348
```

- calculated density (g/cm³) = 13.26
- VASP energy (eV/cell) = -30.4
- formation energy from raw total energies (eV per atom) = 0.72



Compound: Sr2CeYS4
Source: Alexandria via LeMat-Bulk
Functional: PBE
Structure: optimized geometry

Cell and atoms, written as extended XYZ:
```
8
Lattice="-0.5112 1.4651 3.7800 -6.8479 -1.7849 -0.2343 3.7895 -5.5513 2.6641" Properties=species:S:1:pos:R:3 pbc="T T T"
Sr 1.6392 -2.0431 3.2220
Sr -1.5292 -3.6681 1.2149
Ce -3.6795 -0.1599 1.7728
Y 0.0000 0.0000 0.0000
S -1.0098 -0.9823 2.4526
S -2.5598 -4.8888 3.7572
S 1.1917 -4.6817 1.9757
S -4.2501 -2.6545 0.4541
```

- calculated density (g/cm³) = 4.47
- VASP energy (eV/cell) = -48.4
- formation energy from raw total energies (eV per atom) = -2.02



Compound: BaEuHoIn
Source: Alexandria via LeMat-Bulk
Functional: PBE
Structure: optimized geometry

Cell and atoms, written as extended XYZ:
```
4
Lattice="-3.2086 -0.6662 4.8289 -5.4016 -2.1790 -0.3634 -1.1311 -5.3507 2.0366" Properties=species:S:1:pos:R:3 pbc="T T T"
Eu -4.8707 -4.0979 3.2511
In 0.0000 0.0000 0.0000
Ho -2.4353 -2.0490 1.6255
Ba -7.3060 -6.1469 4.8766
```

- calculated density (g/cm³) = 6.72
- VASP energy (eV/cell) = -19.7
- E_form (eV per atom) = -0.04



Compound: Sm4TlInN
Source: Alexandria via LeMat-Bulk
Functional: PBE
Structure: optimized geometry

Cell and atoms, written as extended XYZ:
```
14
Lattice="-3.8440 -2.3029 -5.2736 0.1713 -6.3889 2.6650 -4.7597 2.7184 6.8229" Properties=species:S:1:pos:R:3 pbc="T T T"
Sm -7.4023 -1.4534 1.4897
Sm -5.3842 -3.4988 5.4524
Sm -1.0301 -4.5200 2.7246
Sm -3.0482 -2.4745 -1.2382
Sm -4.2162 -2.9867 2.1071
Sm -2.3798 1.3592 3.4114
Sm -4.3018 0.2078 0.7746
Sm -2.2942 -1.8352 4.7440
Tl -1.4595 -1.2449 1.6075
Tl -6.9728 -4.7285 2.6068
In -3.3060 -5.5884 0.3095
In -5.1264 -0.3849 3.9048
N -3.2156 -4.0074 4.0938
N -5.2168 -1.9659 0.1204
```

- calculated density (g/cm³) = 8.06
- VASP energy (eV/cell) = -73.8
- formation energy from raw total energies (eV per atom) = -0.66



Compound: SrMgW2
Source: Alexandria via LeMat-Bulk
Functional: PBE
Structure: optimized geometry

Cell and atoms, written as extended XYZ:
```
4
Lattice="-3.2434 3.1534 1.7197 -2.4015 -0.9841 4.0847 0.9574 2.4995 4.0319" Properties=species:S:1:pos:R:3 pbc="T T T"
Mg -2.3437 2.3344 4.9181
Sr -3.5156 3.5016 7.3772
W 0.0000 0.0000 0.0000
W -1.1719 1.1672 2.4591
```

- calculated density (g/cm³) = 9.94
- VASP energy (eV/cell) = -25.1
- E_form (eV per atom) = 1.01



Compound: KNaHo2F8
Source: Alexandria via LeMat-Bulk
Functional: PBE
Structure: optimized geometry

Cell and atoms, written as extended XYZ:
```
12
Lattice="3.8469 0.0027 -0.0015 -0.0044 5.9185 -0.0089 0.0029 0.0056 7.6728" Properties=species:S:1:pos:R:3 pbc="T T T"
K 0.0015 0.0028 3.8364
Na 0.0000 0.0000 0.0000
Ho 1.9235 2.9666 5.7812
Ho 1.9220 2.9602 1.8811
F -0.0023 4.2214 1.8386
F 1.9204 4.2667 -0.0055
F 3.8463 1.6961 1.8387
F 3.8478 1.7053 5.8237
F 1.9250 1.6600 7.6678
F -0.0008 4.2306 5.8237
F 1.9218 4.1894 3.8300
F 1.9236 1.7374 3.8324
```

- calculated density (g/cm³) = 5.17
- VASP energy (eV/cell) = -71.0
- formation energy from raw total energies (eV per atom) = -3.70



Compound: CsLiO2F
Source: Alexandria via LeMat-Bulk
Functional: PBE
Structure: optimized geometry

Cell and atoms, written as extended XYZ:
```
5
Lattice="-0.2222 -3.5933 2.4265 3.1297 1.5487 2.5799 -3.7436 2.3469 3.1326" Properties=species:S:1:pos:R:3 pbc="T T T"
Cs 0.0000 0.0000 0.0000
Li -0.4180 0.1511 4.0695
O 1.5649 0.7743 1.2899
O -0.1111 -1.7967 1.2133
F -1.8718 1.1734 1.5663
```

- calculated density (g/cm³) = 3.10
- VASP energy (eV/cell) = -16.3
- formation energy from raw total energies (eV per atom) = -0.34



Compound: BaTbCu2Ge2
Source: Alexandria via LeMat-Bulk
Functional: PBE
Structure: optimized geometry

Cell and atoms, written as extended XYZ:
```
6
Lattice="4.3957 0.0000 0.0000 -2.1979 3.8068 0.0000 0.0000 0.0000 8.1536" Properties=species:S:1:pos:R:3 pbc="T T T"
Ba 0.0000 0.0000 0.0000
Tb 0.0000 0.0000 4.0768
Cu 2.1979 1.2689 2.5594
Cu 0.0000 2.5379 5.5942
Ge 2.1979 1.2689 5.7184
Ge 0.0000 2.5379 2.4352
```

- calculated density (g/cm³) = 6.92
- VASP energy (eV/cell) = -27.2
- E_form (eV per atom) = -0.54